Record 1
Compound: PaHgRh
Source: Alexandria via LeMat-Bulk
Functional: PBE-GGA
Structure: optimized geometry

a b c (Å): 9.4456 9.4456 3.5222
angles (deg): 90.00 90.00 90.00
Last column: nearest neighbours and their distance in Å.
Atoms (fractional coordinates):
Pa1 0.0383 0.7814 0.0000  3 Rh 2.66-2.67
Pa2 0.2186 0.0383 0.5000  3 Rh 2.66-2.67
Pa3 0.7814 0.9617 0.5000  3 Rh 2.66-2.67
Pa4 0.9617 0.2186 0.0000  3 Rh 2.66-2.67
Hg1 0.1605 0.4750 0.5000  3 Rh 2.80-2.87, 1 Hg 3.07
Hg2 0.4750 0.8395 0.0000  3 Rh 2.80-2.87, 1 Hg 3.07
Hg3 0.5250 0.1605 0.0000  3 Rh 2.80-2.87, 1 Hg 3.07
Hg4 0.8395 0.5250 0.5000  3 Rh 2.80-2.87, 1 Hg 3.07
Rh1 0.2419 0.2489 0.0000  3 Pa 2.66-2.67, 3 Hg 2.80-2.87
Rh2 0.2489 0.7581 0.5000  3 Pa 2.66-2.67, 3 Hg 2.80-2.87
Rh3 0.7511 0.2419 0.5000  3 Pa 2.66-2.67, 3 Hg 2.80-2.87
Rh4 0.7581 0.7511 0.0000  3 Pa 2.66-2.67, 3 Hg 2.80-2.87

The value obtained for the total energy is -70.5 eV per cell. The energy relative to the elements comes out at -0.1562 eV/atom. The calculation puts the magnetic moment at 0.00 μB per cell. The space group is No. 84.


Record 2
Compound: SnHgH3
Source: Alexandria via LeMat-Bulk
Functional: PBE-GGA
Structure: optimized geometry

a b c (Å): 4.1310 4.1310 4.1310
angles (deg): 90.00 90.00 90.00
Last column: nearest neighbours and their distance in Å.
Atoms (fractional coordinates):
Sn1 0.0000 0.0000 0.0000  6 H 2.07
Hg1 0.5000 0.5000 0.5000  12 H 2.92
H1 0.0000 0.0000 0.5000  2 Sn 2.07
H2 0.0000 0.5000 0.0000  2 Sn 2.07
H3 0.5000 0.0000 0.0000  2 Sn 2.07

The value obtained for the total energy is -12.5 eV per cell. The calculation puts the magnetic moment at 0.00 μB per cell. The space group is No. 221.


Record 3
Compound: BePd2RuRh
Source: Alexandria via LeMat-Bulk
Functional: PBE-GGA
Structure: optimized geometry

a b c (Å): 4.8374 4.8374 3.8945
angles (deg): 90.00 90.00 90.00
Last column: nearest neighbours and their distance in Å.
Atoms (fractional coordinates):
Be1 0.0000 0.0000 0.0000  2 Rh 1.95
Pd1 0.0000 0.5000 0.5000  2 Rh 2.42
Pd2 0.5000 0.0000 0.5000  2 Rh 2.42
Ru1 0.5000 0.5000 0.0000  8 Pd 3.11, 4 Be 3.42
Rh1 0.0000 0.0000 0.5000  2 Be 1.95

The value obtained for the total energy is -24.3 eV per cell. The energy relative to the elements comes out at 1.2881 eV/atom. The calculation puts the magnetic moment at 3.11 μB per cell. The space group is No. 123.


Which value of magnetic moment does entry 3 give? 3.11 μB per cell


Which formula does entry 2 have? SnHgH3


Among the records above, which one has the highest magnetic moment? BePd2RuRh